1.
The following is a GGA-PBE calculation of an optimized crystal structure of KTiTl, from Alexandria via LeMat-Bulk.

a = 14.5665 Å, b = 3.7971 Å, c = 3.3385 Å
α = 90.00°, β = 84.83°, γ = 105.14°
Closest atoms and distances in Å follow each position.
Positions (direct):
Tl 0.2719 0.5937 0.7685  5 Ti 3.02-3.05, 2 Tl 3.34
Tl 0.6085 0.4310 0.1353  5 Ti 3.02-3.05, 2 Tl 3.34
Ti 0.4899 0.8120 0.6823  4 Ti 2.88-2.89, 5 Tl 3.02-3.05
Ti 0.3906 0.2127 0.2213  4 Ti 2.88-2.89, 5 Tl 3.02-3.05
K 0.7919 0.1148 0.5628  2 K 3.34, 4 Tl 3.60
K 0.0885 0.9098 0.3410  2 K 3.34, 4 Tl 3.60

Properties
The calculation puts the formation energy at 0.12 eV per atom. The value obtained for the total energy is -3.6648 eV/atom. The value obtained for the density of states at the Fermi level is 2.61 states/eV/f.u. The value obtained for the total magnetization is 0.0 μB/f.u. As for the crystal system: triclinic.



2.
The following is a GGA-PBE calculation of an optimized crystal structure of KTiTl, from Alexandria via LeMat-Bulk.

a = 11.9817 Å, b = 4.6414 Å, c = 4.6414 Å
α = 121.04°, β = 79.09°, γ = 100.94°
Closest atoms and distances in Å follow each position.
Positions (direct):
Ti 0.9978 0.1461 0.8540  1 Ti 2.37
Ti 0.0022 0.8539 0.1460  1 Ti 2.37
Tl 0.8694 0.4544 0.5453  6 Ti 2.99-3.27, 1 Tl 3.05
Tl 0.1306 0.5456 0.4547  6 Ti 2.99-3.27, 1 Tl 3.05
K 0.6705 0.7184 0.2809  3 Tl 3.53-3.54, 1 Ti 3.89
K 0.3295 0.2816 0.7191  3 Tl 3.53-3.54, 1 Ti 3.89

Properties
The calculation puts the formation energy at 0.23 eV per atom. The value obtained for the total energy is -3.5568 eV/atom. The value obtained for the density of states at the Fermi level is 2.04 states/eV/f.u. The value obtained for the total magnetization is 0.0 μB/f.u. As for the crystal system: monoclinic.



3.
The following is a GGA-PBE calculation of an optimized crystal structure of KTiTl, from Alexandria via LeMat-Bulk.

a = 5.7823 Å, b = 5.7823 Å, c = 11.1633 Å
α = 90.00°, β = 90.00°, γ = 120.00°
Closest atoms and distances in Å follow each position.
Positions (direct):
Tl 0.0000 0.0000 0.7500  2 Ti 2.79
Tl 0.0000 0.0000 0.2500  2 Ti 2.79
Ti 0.0000 0.0000 0.5000  2 Tl 2.79
Ti 0.0000 0.0000 0.0000  2 Tl 2.79
K 0.3333 0.6667 0.2500  3 Tl 3.34
K 0.6667 0.3333 0.7500  3 Tl 3.34

Properties
The calculation puts the formation energy at 1.21 eV per atom. The value obtained for the total energy is -2.5788 eV/atom. The value obtained for the density of states at the Fermi level is 6.08 states/eV/f.u. The value obtained for the total magnetization is 2.7 μB/f.u. As for the crystal system: hexagonal.



4.
The following is a GGA-PBE calculation of an optimized crystal structure of KTiTl, from Alexandria via LeMat-Bulk.

a = 8.9593 Å, b = 4.4899 Å, c = 8.8376 Å
α = 90.00°, β = 90.00°, γ = 90.00°
Closest atoms and distances in Å follow each position.
Positions (direct):
Ti 0.5887 0.2500 0.0473  4 Tl 2.86-3.18, 2 Ti 2.88
Ti 0.9113 0.7500 0.5473  4 Tl 2.86-3.18, 2 Ti 2.88
Ti 0.4113 0.7500 0.9527  4 Tl 2.86-3.18, 2 Ti 2.88
Ti 0.0887 0.2500 0.4527  4 Tl 2.86-3.18, 2 Ti 2.88
K 0.4892 0.7500 0.3569  5 Tl 3.38-3.62, 2 K 3.39, 3 Ti 3.64-3.65
K 0.5108 0.2500 0.6431  5 Tl 3.38-3.62, 2 K 3.39, 3 Ti 3.64-3.65
K 0.9892 0.7500 0.1431  5 Tl 3.38-3.62, 2 K 3.39, 3 Ti 3.64-3.65
K 0.0108 0.2500 0.8569  5 Tl 3.38-3.62, 2 K 3.39, 3 Ti 3.64-3.65
Tl 0.7119 0.7500 0.8444  4 Ti 2.86-3.18
Tl 0.2119 0.7500 0.6556  4 Ti 2.86-3.18
Tl 0.7881 0.2500 0.3444  4 Ti 2.86-3.18
Tl 0.2881 0.2500 0.1556  4 Ti 2.86-3.18

Properties
The calculation puts the formation energy at 0.43 eV per atom. The value obtained for the total energy is -3.3606 eV/atom. The value obtained for the density of states at the Fermi level is 2.86 states/eV/f.u. The value obtained for the total magnetization is 1.1 μB/f.u. As for the crystal system: orthorhombic.



5.
The following is a GGA-PBE calculation of an optimized crystal structure of KTiTl3, from Alexandria via LeMat-Bulk.

a = 5.5299 Å, b = 5.5299 Å, c = 5.5299 Å
α = 90.00°, β = 90.00°, γ = 90.00°
Closest atoms and distances in Å follow each position.
Positions (direct):
Ti 0.0000 0.0000 0.0000  6 Tl 2.76
Tl 0.0000 0.0000 0.5000  2 Ti 2.76
Tl 0.0000 0.5000 0.0000  2 Ti 2.76
Tl 0.5000 0.0000 0.0000  2 Ti 2.76
K 0.5000 0.5000 0.5000  12 Tl 3.91

Properties
The calculation puts the formation energy at 0.16 eV per atom. The value obtained for the total energy is -3.0597 eV/atom. The value obtained for the density of states at the Fermi level is 5.08 states/eV/f.u. The value obtained for the total magnetization is 1.4 μB/f.u. As for the crystal system: cubic.



6.
The following is a GGA-PBE calculation of an optimized crystal structure of KTiTl, from Alexandria via LeMat-Bulk.

a = 5.4827 Å, b = 5.4827 Å, c = 7.2375 Å
α = 90.00°, β = 90.00°, γ = 90.00°
Closest atoms and distances in Å follow each position.
Positions (direct):
Tl 0.5000 0.5000 0.5000  4 Ti 2.80
Tl 0.0000 0.0000 0.5000  4 Ti 2.80
Ti 0.5000 0.0000 0.5779  4 Tl 2.80
Ti 0.0000 0.5000 0.4221  4 Tl 2.80
K 0.0000 0.5000 0.8866  1 Ti 3.36
K 0.5000 0.0000 0.1134  1 Ti 3.36

Properties
The calculation puts the formation energy at 0.50 eV per atom. The value obtained for the total energy is -3.2899 eV/atom. The value obtained for the density of states at the Fermi level is 1.78 states/eV/f.u. The value obtained for the total magnetization is 1.5 μB/f.u. As for the crystal system: tetragonal.



7.
The following is a GGA-PBE calculation of an optimized crystal structure of KTiTl, from Alexandria via LeMat-Bulk.

a = 3.3070 Å, b = 4.7683 Å, c = 12.5978 Å
α = 90.00°, β = 89.15°, γ = 90.00°
Closest atoms and distances in Å follow each position.
Positions (direct):
Tl 0.2268 0.0000 0.8483  6 Ti 2.90-3.22
Tl 0.7136 0.0000 0.0794  4 Ti 3.00, 4 Tl 3.31-3.35
K 0.7419 0.0000 0.5947  2 K 3.31, 2 Tl 3.60
K 0.2038 0.5000 0.2925  2 K 3.31, 1 Ti 3.43
Ti 0.7266 0.5000 0.8514  2 Ti 2.69, 4 Tl 2.90
Ti 0.2169 0.5000 0.0200  2 Ti 2.69, 4 Tl 3.00

Properties
The calculation puts the formation energy at 0.21 eV per atom. The value obtained for the total energy is -3.5801 eV/atom. The value obtained for the density of states at the Fermi level is 2.21 states/eV/f.u. The value obtained for the total magnetization is 0.0 μB/f.u. As for the crystal system: monoclinic.



8.
The following is a GGA-PBE calculation of an optimized crystal structure of KTiTl, from Alexandria via LeMat-Bulk.

a = 5.1917 Å, b = 11.4002 Å, c = 3.9950 Å
α = 90.18°, β = 67.37°, γ = 99.05°
Closest atoms and distances in Å follow each position.
Positions (direct):
K 0.6283 0.3877 0.9427  3 Tl 3.52-3.54
K 0.3030 0.7128 0.5998  2 Tl 3.72, 3 Ti 3.83-3.88, 2 K 4.00
Ti 0.6789 0.0868 0.4152  2 Ti 2.68
Ti 0.8024 0.9468 0.8521  2 Ti 2.68, 3 Tl 2.81-2.86
Tl 0.1361 0.1979 0.6874  4 Ti 3.03-3.08, 2 Tl 3.27
Tl 0.2363 0.9815 0.1354  6 Ti 2.81-3.11

Properties
The calculation puts the formation energy at 0.29 eV per atom. The value obtained for the total energy is -3.4981 eV/atom. The value obtained for the density of states at the Fermi level is 2.53 states/eV/f.u. The value obtained for the total magnetization is 1.2 μB/f.u. As for the crystal system: triclinic.



9.
The following is a GGA-PBE calculation of an optimized crystal structure of KTi2Tl, from Alexandria via LeMat-Bulk.

a = 5.0259 Å, b = 5.0259 Å, c = 5.0259 Å
α = 60.00°, β = 60.00°, γ = 60.00°
Closest atoms and distances in Å follow each position.
Positions (direct):
Ti 0.7500 0.7500 0.7500  4 Tl 3.08, 4 K 3.08
Ti 0.2500 0.2500 0.2500  4 Tl 3.08, 4 K 3.08
Tl 0.5000 0.5000 0.5000  8 Ti 3.08
K 0.0000 0.0000 0.0000  8 Ti 3.08

Properties
The calculation puts the formation energy at 0.89 eV per atom. The value obtained for the total energy is -3.9264 eV/atom. The value obtained for the density of states at the Fermi level is 5.09 states/eV/f.u. The value obtained for the total magnetization is 1.8 μB/f.u. As for the crystal system: cubic.



10.
The following is a GGA-PBE calculation of an optimized crystal structure of KTiTl, from Alexandria via LeMat-Bulk.

a = 7.6755 Å, b = 5.1061 Å, c = 5.1139 Å
α = 99.08°, β = 86.02°, γ = 94.08°
Closest atoms and distances in Å follow each position.
Positions (direct):
Tl 0.1541 0.2980 0.2011  4 Ti 2.82-2.87
Tl 0.8459 0.7020 0.7989  4 Ti 2.82-2.87
Ti 0.0003 0.1968 0.6958  1 Ti 2.60, 4 Tl 2.82-2.87
Ti 0.9997 0.8032 0.3042  1 Ti 2.60, 4 Tl 2.82-2.87
K 0.6352 0.2493 0.2505  5 Tl 3.72-3.97, 4 Ti 3.78-3.84, 2 K 3.91-3.92
K 0.3648 0.7507 0.7495  5 Tl 3.72-3.97, 4 Ti 3.78-3.84, 2 K 3.91-3.92

Properties
The calculation puts the formation energy at 0.33 eV per atom. The value obtained for the total energy is -3.4604 eV/atom. The value obtained for the density of states at the Fermi level is 2.24 states/eV/f.u. The value obtained for the total magnetization is 0.9 μB/f.u. As for the crystal system: triclinic.